Record 1
The following is a PBE-GGA calculation of an optimized crystal structure of Ac2NbPdO6, from Alexandria via LeMat-Bulk.

a b c (Å): 4.821 5.789 5.789
angles (deg): 90.00 90.00 90.00
Each line ends with the local moment (μB).
Fractional positions:
O 0.200 0.000 0.000  0.00
O 0.725 0.772 0.228  0.01
O 0.725 0.228 0.228  0.01
O 0.122 0.500 0.500  0.00
O 0.725 0.772 0.772  0.01
O 0.725 0.228 0.772  0.01
Nb 0.598 0.000 0.000  0.00
Pd 0.578 0.500 0.500  0.17
Ac 0.023 0.500 0.000  0.00
Ac 0.023 0.000 0.500  0.00

Summary:
final energy: -77.3 eV per cell
mass density: 7.7 g/cm3
formation energy (no corrections): -2.409 eV/atom



Record 2
The following is a PBE-GGA calculation of an optimized crystal structure of Ac2PmNbO8, from Alexandria via LeMat-Bulk.

a b c (Å): 4.283 5.682 7.409
angles (deg): 90.00 90.00 91.94
Fractional positions:
O 0.020 0.765 0.206
O 0.464 0.128 0.000
O 0.980 0.235 0.206
O 0.516 0.756 0.500
O 0.020 0.765 0.794
O 0.980 0.235 0.794
O 0.484 0.244 0.500
O 0.536 0.872 0.000
Pm 0.000 0.000 0.500
Ac 0.500 0.500 0.248
Ac 0.500 0.500 0.752
Nb 0.000 0.000 0.000

Summary:
final energy: -96.0 eV per cell
mass density: 7.6 g/cm3
formation energy (no corrections): -2.772 eV/atom



Record 3
The following is a PBE-GGA calculation of an optimized crystal structure of AcPmNbO6, from Alexandria via LeMat-Bulk.

a b c (Å): 5.264 5.264 10.662
angles (deg): 90.00 90.00 90.00
Each line ends with the local moment (μB).
Fractional positions:
O 0.675 0.675 0.019  0.10
O 0.175 0.825 0.519  0.10
O 0.825 0.175 0.519  0.10
O 0.312 0.312 0.303  0.16
O 0.229 0.771 0.178  0.18
O 0.812 0.188 0.803  0.16
O 0.188 0.812 0.803  0.16
O 0.729 0.729 0.678  0.18
O 0.271 0.271 0.678  0.18
O 0.771 0.229 0.178  0.18
O 0.688 0.688 0.303  0.16
O 0.325 0.325 0.019  0.10
Nb 0.000 0.000 0.665  -0.06
Nb 0.500 0.500 0.165  -0.06
Pm 0.500 0.500 0.835  -0.01
Pm 0.000 0.000 0.335  -0.01
Ac 0.500 0.500 0.500  0.01
Ac 0.000 0.000 0.000  0.01

Summary:
final energy: -147.6 eV per cell
mass density: 6.3 g/cm3
formation energy (no corrections): -2.794 eV/atom



Question: Which value of final energy does entry 1 give?
Answer: -77.3 eV per cell